Record 1
Compound: Mg2ScTiCr
Source: Alexandria
Functional: meta-GGA SCAN
Structure: single point on PBEsol structure

Cell and atoms, written as CIF:
```
data_Mg2ScTiCr
_cell_length_a 5.012
_cell_length_b 5.012
_cell_length_c 4.129
_cell_angle_alpha 90.00
_cell_angle_beta 90.00
_cell_angle_gamma 90.00
_symmetry_space_group_name_H-M 'P 4/m m m'
_symmetry_Int_Tables_number 123
_symmetry_space_group_name_Hall '-P 4 2'
loop_
_atom_site_label
_atom_site_type_symbol
_atom_site_fract_x
_atom_site_fract_y
_atom_site_fract_z
Mg1 Mg 0.000 0.500 0.000
Sc1 Sc 0.000 0.000 0.500
Ti1 Ti 0.500 0.500 0.500
Cr1 Cr 0.500 0.500 0.000
```

Computed properties:
total moment = 0.44 μB/cell
energy of formation from the pure elements = 0.53 eV/atom



Record 2
Compound: MgSc2TlCr
Source: Alexandria
Functional: meta-GGA SCAN
Structure: single point on PBEsol structure

Cell and atoms, written as CIF:
```
data_MgSc2TlCr
_cell_length_a 4.721
_cell_length_b 4.721
_cell_length_c 5.165
_cell_angle_alpha 90.00
_cell_angle_beta 90.00
_cell_angle_gamma 90.00
_symmetry_space_group_name_H-M 'P 4/m m m'
_symmetry_Int_Tables_number 123
_symmetry_space_group_name_Hall '-P 4 2'
loop_
_atom_site_label
_atom_site_type_symbol
_atom_site_fract_x
_atom_site_fract_y
_atom_site_fract_z
Mg1 Mg 0.000 0.000 0.000
Sc1 Sc 0.000 0.500 0.500
Tl1 Tl 0.500 0.500 0.000
Cr1 Cr 0.500 0.500 0.500
```

Computed properties:
total moment = 1.52 μB/cell
energy of formation from the pure elements = 0.33 eV/atom



Record 3
Compound: MgCrSe2
Source: Alexandria
Functional: meta-GGA SCAN
Structure: single point on PBEsol structure

Cell and atoms, written as CIF:
```
data_MgCrSe2
_cell_length_a 5.805
_cell_length_b 5.805
_cell_length_c 11.753
_cell_angle_alpha 90.00
_cell_angle_beta 90.00
_cell_angle_gamma 90.00
_symmetry_space_group_name_H-M 'I -4 2 d'
_symmetry_Int_Tables_number 122
_symmetry_space_group_name_Hall 'I -4 2bw'
loop_
_atom_site_label
_atom_site_type_symbol
_atom_site_fract_x
_atom_site_fract_y
_atom_site_fract_z
Mg1 Mg 0.000 0.000 0.000
Cr1 Cr 0.000 0.000 0.500
Se1 Se 0.234 0.250 0.625
```

Computed properties:
total moment = 16.00 μB/cell
formation energy (no corrections) = -931 meV/atom



Record 4
Compound: Mg2CrSe
Source: Alexandria
Functional: meta-GGA SCAN
Structure: single point on PBEsol structure

Cell and atoms, written as CIF:
```
data_Mg2CrSe
_cell_length_a 4.479
_cell_length_b 4.479
_cell_length_c 3.713
_cell_angle_alpha 90.00
_cell_angle_beta 90.00
_cell_angle_gamma 90.00
_symmetry_space_group_name_H-M 'P 4/m m m'
_symmetry_Int_Tables_number 123
_symmetry_space_group_name_Hall '-P 4 2'
loop_
_atom_site_label
_atom_site_type_symbol
_atom_site_fract_x
_atom_site_fract_y
_atom_site_fract_z
Mg1 Mg 0.000 0.500 0.000
Cr1 Cr 0.000 0.000 0.500
Se1 Se 0.500 0.500 0.500
```

Computed properties:
total moment = 4.43 μB/cell
formation energy (no corrections) = -167 meV/atom



Record 5
Compound: Mg4CrSe
Source: Alexandria
Functional: meta-GGA SCAN
Structure: single point on PBEsol structure

Cell and atoms, written as CIF:
```
data_Mg4CrSe
_cell_length_a 8.019
_cell_length_b 8.019
_cell_length_c 8.019
_cell_angle_alpha 90.00
_cell_angle_beta 90.00
_cell_angle_gamma 90.00
_symmetry_space_group_name_H-M 'F -4 3 m'
_symmetry_Int_Tables_number 216
_symmetry_space_group_name_Hall 'F -4 2 3'
loop_
_atom_site_label
_atom_site_type_symbol
_atom_site_fract_x
_atom_site_fract_y
_atom_site_fract_z
Mg1 Mg 0.125 0.125 0.125
Cr1 Cr 0.000 0.000 0.500
Se1 Se 0.250 0.250 0.750
```

Computed properties:
total moment = 17.82 μB/cell
formation energy (no corrections) = 243 meV/atom



Record 6
Compound: MgCrSe2
Source: Alexandria
Functional: meta-GGA SCAN
Structure: single point on PBEsol structure

Cell and atoms, written as CIF:
```
data_MgCrSe2
_cell_length_a 4.663
_cell_length_b 4.663
_cell_length_c 3.292
_cell_angle_alpha 90.00
_cell_angle_beta 90.00
_cell_angle_gamma 90.00
_symmetry_space_group_name_H-M 'P 4/m m m'
_symmetry_Int_Tables_number 123
_symmetry_space_group_name_Hall '-P 4 2'
loop_
_atom_site_label
_atom_site_type_symbol
_atom_site_fract_x
_atom_site_fract_y
_atom_site_fract_z
Mg1 Mg 0.000 0.000 0.000
Cr1 Cr 0.500 0.500 0.000
Se1 Se 0.000 0.500 0.500
```

Computed properties:
total moment = 3.83 μB/cell
formation energy (no corrections) = -534 meV/atom